Compound: CuRu2Se
Source: the Alexandria database
Functional: PBE
Structure: relaxed

Output
DOS at the Fermi energy	0.947	states/eV per atom
E_form (uncorrected)	1.36	eV/f.u.

Cell lengths 2.8942, 3.7065, 5.3893 Å; angles 90.00, 90.00, 90.00 degrees
Closest atoms and distances in Å follow each position.
Space group Pmm2 (No. 25)
Inequivalent atoms, fractional coordinates:
Cu (0.0000, 0.0000, 0.0000) x1  6 Ru 2.59-2.80, 4 Se 2.81, 2 Cu 2.89
Ru (0.0000, 0.0000, 0.4797) x1  2 Cu 2.59-2.80, 4 Se 2.67, 6 Ru 2.71-2.89
Ru (0.5000, 0.5000, 0.2284) x1  2 Se 2.63-2.76, 4 Cu 2.65, 6 Ru 2.71-2.89
Se (0.5000, 0.5000, 0.7156) x1  6 Ru 2.63-2.76, 4 Cu 2.81, 2 Se 2.89

Compound: CuRu2Se
Source: the Alexandria database
Functional: PBE
Structure: relaxed

Output
DOS at the Fermi energy	1.203	states/eV per atom
E_form (uncorrected)	1.36	eV/f.u.

Cell lengths 2.8719, 3.9580, 5.3239 Å; angles 90.00, 105.56, 90.00 degrees
Closest atoms and distances in Å follow each position.
Space group Pm (No. 6)
Inequivalent atoms, fractional coordinates:
Cu (0.0000, 0.0000, 0.0000) x1  5 Ru 2.55-2.82, 4 Se 2.67
Ru (0.2483, 0.0000, 0.4977) x1  2 Se 2.49, 1 Cu 2.55, 4 Ru 2.70
Ru (0.6353, 0.5000, 0.2735) x1  1 Se 2.47, 4 Ru 2.70
Se (0.3955, 0.5000, 0.7921) x1  3 Ru 2.47-2.49, 4 Cu 2.67

Compound: CuRu2Se
Source: the Alexandria database
Functional: PBE
Structure: relaxed

Output
DOS at the Fermi energy	1.066	states/eV per atom
E_form (uncorrected)	1.20	eV/f.u.

Cell lengths 2.8659, 2.8659, 7.2777 Å; angles 90.00, 90.00, 90.00 degrees
Closest atoms and distances in Å follow each position.
Space group P4mm (No. 99)
Inequivalent atoms, fractional coordinates:
Cu (0.0000, 0.0000, 0.0000) x1  4 Ru 2.68, 4 Cu 2.87, 4 Se 2.92
Ru (0.0000, 0.0000, 0.4754) x1  8 Ru 2.65-2.87, 4 Se 2.65
Ru (0.5000, 0.5000, 0.2409) x1  8 Ru 2.65-2.87, 4 Cu 2.68
Se (0.5000, 0.5000, 0.7104) x1  4 Ru 2.65, 4 Se 2.87, 4 Cu 2.92

Compound: CuRu2Se
Source: the Alexandria database
Functional: PBE
Structure: relaxed

Output
DOS at the Fermi energy	0.751	states/eV per atom
E_form (uncorrected)	1.34	eV/f.u.

Cell lengths 4.3092, 2.9405, 4.9590 Å; angles 90.00, 114.20, 90.00 degrees
Closest atoms and distances in Å follow each position.
Space group P2/m (No. 10)
Inequivalent atoms, fractional coordinates:
Cu (0.0000, 0.0000, 0.0000) x1  6 Ru 2.53-2.61
Ru (0.5000, 0.0000, 0.5000) x1  2 Cu 2.53, 4 Se 2.61
Ru (0.5000, 0.5000, 0.0000) x1  2 Se 2.53, 4 Cu 2.61
Se (0.0000, 0.5000, 0.5000) x1  6 Ru 2.53-2.61